Record 1
Computed, not measured: CoPO4 after structural relaxation at the PBE+U level of DFT.

Calculated total energy (eV for the cell shown): -161.7

Cell lengths 5.2416, 6.8529, 10.5985 Å; angles 90.00, 90.00, 90.00 degrees
Closest atoms and distances in Å follow each position.
Element x y z (fractional)
O: 0.3399 0.3561 0.1418  1 P 1.55
O: 0.8399 0.8561 0.3582  1 P 1.55
O: 0.3969 0.9903 0.3912  1 P 1.55
O: 0.6031 0.4903 0.6088  1 P 1.55
O: 0.7440 0.2187 0.3179  1 P 1.55
O: 0.7511 0.0836 0.5395  1 P 1.55
O: 0.2511 0.5836 0.9605  1 P 1.55
O: 0.2440 0.7187 0.1821  1 P 1.55
O: 0.8969 0.4903 0.1088  1 P 1.55
P: 0.1851 0.5374 0.0994  4 O 1.55
P: 0.8149 0.0374 0.9006  4 O 1.55
O: 0.2489 0.5836 0.4605  1 P 1.55
O: 0.6601 0.8561 0.8582  1 P 1.55
Co: 0.8184 0.2853 0.6505  4 O 1.85-1.86
O: 0.7560 0.2187 0.8179  1 P 1.55
Co: 0.3184 0.7853 0.8495  4 O 1.85-1.86
O: 0.1601 0.3561 0.6418  1 P 1.55
O: 0.2560 0.7187 0.6821  1 P 1.55
O: 0.7489 0.0836 0.0395  1 P 1.55
P: 0.6851 0.0374 0.4006  4 O 1.55
O: 0.1031 0.9903 0.8912  1 P 1.55
Co: 0.1816 0.7853 0.3495  4 O 1.85-1.86
P: 0.3149 0.5374 0.5994  4 O 1.55
Co: 0.6816 0.2853 0.1505  4 O 1.85-1.86

---

Record 2
Computed, not measured: CoP4O12 after structural relaxation at the PBE+U level of DFT.

Calculated total energy (eV for the cell shown): -232.7

Cell lengths 10.5235, 10.5235, 5.0780 Å; angles 84.15, 84.15, 72.83 degrees
Closest atoms and distances in Å follow each position.
Element x y z (fractional)
P: 0.0589 0.2996 0.5316  4 O 1.50-1.61
P: 0.3568 0.7918 0.8093  4 O 1.50-1.62
O: 0.3217 0.5734 0.3594  1 P 1.50
O: 0.9301 0.6717 0.7631  1 P 1.50
O: 0.6717 0.9301 0.7631  1 P 1.50
O: 0.6783 0.4266 0.6406  1 P 1.50
P: 0.2082 0.6432 0.1907  4 O 1.50-1.62
O: 0.0834 0.4006 0.6975  1 P 1.52
P: 0.6432 0.2082 0.1907  4 O 1.50-1.62
O: 0.5734 0.3217 0.3594  1 P 1.50
O: 0.7668 0.2332 0.0000  2 P 1.61
O: 0.3283 0.0699 0.2369  1 P 1.50
O: 0.4464 0.8349 0.9735  1 P 1.51
O: 0.5994 0.9166 0.3025  1 P 1.52
P: 0.2996 0.0589 0.5316  4 O 1.50-1.61
O: 0.1547 0.1547 0.6119  2 P 1.60
O: 0.0699 0.3283 0.2369  1 P 1.50
O: 0.9191 0.2717 0.6315  2 P 1.61-1.62
O: 0.4266 0.6783 0.6406  1 P 1.50
P: 0.9411 0.7004 0.4684  4 O 1.50-1.61
O: 0.9166 0.5994 0.3025  1 P 1.52
O: 0.1651 0.5536 0.0265  1 P 1.51
P: 0.7004 0.9411 0.4684  4 O 1.50-1.61
O: 0.8349 0.4464 0.9735  1 P 1.51
O: 0.0809 0.7283 0.3685  2 P 1.61-1.62
O: 0.7283 0.0809 0.3685  2 P 1.61-1.62
Co: 0.0000 0.5000 0.0000  6 O 1.93-2.05
P: 0.7918 0.3568 0.8093  4 O 1.50-1.62
O: 0.8453 0.8453 0.3881  2 P 1.60
O: 0.2332 0.7668 0.0000  2 P 1.61
O: 0.2717 0.9191 0.6315  2 P 1.61-1.62
O: 0.5536 0.1651 0.0265  1 P 1.51
O: 0.4006 0.0834 0.6975  1 P 1.52
Co: 0.5000 0.0000 0.0000  6 O 1.93-2.05

---

Record 3
Computed, not measured: CoPO4 after structural relaxation at the PBE+U level of DFT.

Calculated total energy (eV for the cell shown): -80.7

Cell lengths 4.7100, 4.7100, 6.4282 Å; angles 90.00, 90.00, 111.69 degrees
Closest atoms and distances in Å follow each position.
Element x y z (fractional)
O: 0.7645 0.2355 0.9478  1 P 1.54
P: 0.6524 0.3476 0.7500  4 O 1.54-1.56
O: 0.2355 0.7645 0.0522  1 P 1.54
O: 0.7810 0.7042 0.7500  1 P 1.56
O: 0.2190 0.2958 0.2500  1 P 1.56
P: 0.3476 0.6524 0.2500  4 O 1.54-1.56
O: 0.7645 0.2355 0.5522  1 P 1.54
Co: 0.0000 0.0000 0.5000  2 O 1.87
Co: 0.0000 0.0000 0.0000  2 O 1.87
O: 0.2355 0.7645 0.4478  1 P 1.54
O: 0.2958 0.2190 0.7500  1 P 1.56
O: 0.7042 0.7810 0.2500  1 P 1.56

---

What did the second record say?
Computed, not measured: CoP4O12 after structural relaxation at the PBE+U level of DFT.

Calculated total energy (eV for the cell shown): -232.7

Cell lengths 10.5235, 10.5235, 5.0780 Å; angles 84.15, 84.15, 72.83 degrees
Closest atoms and distances in Å follow each position.
Element x y z (fractional)
P: 0.0589 0.2996 0.5316  4 O 1.50-1.61
P: 0.3568 0.7918 0.8093  4 O 1.50-1.62
O: 0.3217 0.5734 0.3594  1 P 1.50
O: 0.9301 0.6717 0.7631  1 P 1.50
O: 0.6717 0.9301 0.7631  1 P 1.50
O: 0.6783 0.4266 0.6406  1 P 1.50
P: 0.2082 0.6432 0.1907  4 O 1.50-1.62
O: 0.0834 0.4006 0.6975  1 P 1.52
P: 0.6432 0.2082 0.1907  4 O 1.50-1.62
O: 0.5734 0.3217 0.3594  1 P 1.50
O: 0.7668 0.2332 0.0000  2 P 1.61
O: 0.3283 0.0699 0.2369  1 P 1.50
O: 0.4464 0.8349 0.9735  1 P 1.51
O: 0.5994 0.9166 0.3025  1 P 1.52
P: 0.2996 0.0589 0.5316  4 O 1.50-1.61
O: 0.1547 0.1547 0.6119  2 P 1.60
O: 0.0699 0.3283 0.2369  1 P 1.50
O: 0.9191 0.2717 0.6315  2 P 1.61-1.62
O: 0.4266 0.6783 0.6406  1 P 1.50
P: 0.9411 0.7004 0.4684  4 O 1.50-1.61
O: 0.9166 0.5994 0.3025  1 P 1.52
O: 0.1651 0.5536 0.0265  1 P 1.51
P: 0.7004 0.9411 0.4684  4 O 1.50-1.61
O: 0.8349 0.4464 0.9735  1 P 1.51
O: 0.0809 0.7283 0.3685  2 P 1.61-1.62
O: 0.7283 0.0809 0.3685  2 P 1.61-1.62
Co: 0.0000 0.5000 0.0000  6 O 1.93-2.05
P: 0.7918 0.3568 0.8093  4 O 1.50-1.62
O: 0.8453 0.8453 0.3881  2 P 1.60
O: 0.2332 0.7668 0.0000  2 P 1.61
O: 0.2717 0.9191 0.6315  2 P 1.61-1.62
O: 0.5536 0.1651 0.0265  1 P 1.51
O: 0.4006 0.0834 0.6975  1 P 1.52
Co: 0.5000 0.0000 0.0000  6 O 1.93-2.05